Entry 1:
DFT (PBEsol) results for SrGaSbI2 after structural relaxation.

The structure belongs to space group P4/mmm (No. 123); the cell edges are 6.184, 6.184 and 6.390 Å and the angles 90.00°, 90.00° and 90.00°. Symmetry generates all atoms from Sr at (0.000, 0.000, 0.000), Ga at (0.500, 0.500, 0.500), Sb at (0.000, 0.000, 0.500) and I at (0.000, 0.500, 0.000).

The uncorrected formation energy is -0.12 eV/atom. As for the total moment: 0.402 μB per atom.

Entry 2:
DFT (PBEsol) results for GaTcSbI2 after structural relaxation.

The structure belongs to space group P4/mmm (No. 123); the cell edges are 5.376, 5.376 and 5.404 Å and the angles 90.00°, 90.00° and 90.00°. Symmetry generates all atoms from Ga at (0.000, 0.000, 0.000), Tc at (0.500, 0.500, 0.500), Sb at (0.000, 0.000, 0.500) and I at (0.000, 0.500, 0.000).

The uncorrected formation energy is 1.17 eV/atom. As for the total moment: 0.879 μB per atom.

Entry 3:
DFT (PBEsol) results for GaTcSb2I after structural relaxation.

The structure belongs to space group P4/mmm (No. 123); the cell edges are 5.010, 5.010 and 5.848 Å and the angles 90.00°, 90.00° and 90.00°. Symmetry generates all atoms from Ga at (0.000, 0.000, 0.000), Tc at (0.500, 0.500, 0.500), Sb at (0.000, 0.500, 0.500) and I at (0.500, 0.500, 0.000).

The uncorrected formation energy is 0.47 eV/atom. As for the total moment: 0.000 μB per atom.

Entry 4:
DFT (PBEsol) results for TlGaSbI2 after structural relaxation.

The structure belongs to space group P4/mmm (No. 123); the cell edges are 6.147, 6.147 and 5.644 Å and the angles 90.00°, 90.00° and 90.00°. Symmetry generates all atoms from Tl at (0.000, 0.000, 0.000), Ga at (0.500, 0.500, 0.500), Sb at (0.000, 0.000, 0.500) and I at (0.000, 0.500, 0.000).

The uncorrected formation energy is 0.37 eV/atom. Its energy relative to the lowest polymorph listed for this composition is 344.3 meV per atom. As for the total moment: 0.346 μB per atom.

Entry 5:
DFT (PBEsol) results for TlGaSbI2 after structural relaxation.

The structure belongs to space group P4/mmm (No. 123); the cell edges are 5.692, 5.692 and 5.272 Å and the angles 90.00°, 90.00° and 90.00°. Symmetry generates all atoms from Tl at (0.000, 0.000, 0.000), Ga at (0.500, 0.500, 0.500), Sb at (0.500, 0.500, 0.000) and I at (0.000, 0.500, 0.500).

The uncorrected formation energy is 0.03 eV/atom. Its energy relative to the lowest polymorph listed for this composition is 0.0 meV per atom. As for the total moment: 0.001 μB per atom.

Entry 6:
DFT (PBEsol) results for ScGaTeI2 after structural relaxation.

The structure belongs to space group P4/mmm (No. 123); the cell edges are 5.421, 5.421 and 5.388 Å and the angles 90.00°, 90.00° and 90.00°. Symmetry generates all atoms from Sc at (0.000, 0.000, 0.000), Ga at (0.500, 0.500, 0.500), Te at (0.500, 0.500, 0.000) and I at (0.000, 0.500, 0.500).

The uncorrected formation energy is 0.02 eV/atom. As for the total moment: 0.171 μB per atom.

Ordered raw total energy results: -2.769, -3.369, -4.629, -2.437, -2.782, -3.382; unit eV/atom.